No. 1
# Nd6Y2Ho3Tm | Alexandria via LeMat-Bulk | PBE | relaxed
# electronic total energy = -4.9669 eV per atom
data_Nd6Y2Ho3Tm
_chemical_formula_sum 'Nd6 Y2 Ho3 Tm1'
_space_group_name_H-M_alt 'P 1'
_space_group_IT_number 1
_cell_length_a 6.269
_cell_length_b 6.269
_cell_length_c 11.834
_cell_angle_alpha 95.05
_cell_angle_beta 95.05
_cell_angle_gamma 119.99
loop_
_space_group_symop_operation_xyz
'x,y,z'
loop_
_atom_site_label
_atom_site_type_symbol
_atom_site_fract_x
_atom_site_fract_y
_atom_site_fract_z
Nd1 Nd 0.084 0.416 0.751
Nd2 Nd 0.249 0.249 0.249
Nd3 Nd 0.416 0.084 0.751
Nd4 Nd 0.584 0.916 0.249
Nd5 Nd 0.751 0.751 0.751
Nd6 Nd 0.916 0.584 0.249
Y1 Y 0.333 0.667 0.500
Y2 Y 0.667 0.333 0.500
Ho1 Ho 0.167 0.833 0.000
Ho2 Ho 0.500 0.500 0.000
Ho3 Ho 0.833 0.167 0.000
Tm1 Tm 0.000 0.000 0.500

No. 2
# Nd2YHo2Tm | Alexandria via LeMat-Bulk | PBE | relaxed
# electronic total energy = -4.8139 eV per atom
data_Nd2YHo2Tm
_chemical_formula_sum 'Nd4 Y2 Ho4 Tm2'
_space_group_name_H-M_alt 'P 1'
_space_group_IT_number 1
_cell_length_a 6.579
_cell_length_b 7.032
_cell_length_c 8.805
_cell_angle_alpha 90.00
_cell_angle_beta 103.56
_cell_angle_gamma 90.00
loop_
_space_group_symop_operation_xyz
'x,y,z'
loop_
_atom_site_label
_atom_site_type_symbol
_atom_site_fract_x
_atom_site_fract_y
_atom_site_fract_z
Nd1 Nd 0.125 0.250 0.346
Nd2 Nd 0.266 0.750 0.989
Nd3 Nd 0.734 0.250 0.011
Nd4 Nd 0.875 0.750 0.654
Y1 Y 0.241 0.250 0.985
Y2 Y 0.759 0.750 0.015
Ho1 Ho 0.405 0.001 0.681
Ho2 Ho 0.405 0.499 0.681
Ho3 Ho 0.595 0.501 0.319
Ho4 Ho 0.595 0.999 0.319
Tm1 Tm 0.122 0.750 0.353
Tm2 Tm 0.878 0.250 0.647